(1)
Material: NaGa3Au
Method: DFT, SCAN
State: PBEsol geometry

Output
crystal system	cubic
N(E_F)	2.092	states/eV/f.u.
uncorrected energy	-24.38	eV per atom
energy of formation	0.100	eV/atom
symmetry	Pm-3m, No. 221

The structure in POSCAR format:
```
NaGa3Au
1.0
4.9981 0.0000 0.0000
0.0000 4.9981 0.0000
0.0000 0.0000 4.9981
Na Ga Au
1 3 1
Direct
0.0000 0.0000 0.0000
0.0000 0.5000 0.5000
0.5000 0.0000 0.5000
0.5000 0.5000 0.0000
0.5000 0.5000 0.5000
```



(2)
Material: HfCuSbI2
Method: DFT, SCAN
State: PBEsol geometry

Output
crystal system	tetragonal
N(E_F)	1.641	states/eV/f.u.
uncorrected energy	-37.26	eV per atom
ΔE_f (raw)	44.79	kJ per mole of atoms
symmetry	P4/mmm, No. 123

The structure in POSCAR format:
```
HfCuSbI2
1.0
5.4604 0.0000 0.0000
0.0000 5.4604 0.0000
0.0000 0.0000 5.6529
Hf Cu Sb I
1 1 1 2
Direct
0.0000 0.0000 0.0000
0.5000 0.5000 0.5000
0.0000 0.0000 0.5000
0.0000 0.5000 0.0000
0.5000 0.0000 0.0000
```



(3)
Material: TiSbPRu2
Method: DFT, SCAN
State: PBEsol geometry

Output
crystal system	tetragonal
N(E_F)	2.562	states/eV/f.u.
uncorrected energy	-26.16	eV per atom
ΔE_f (raw)	49.17	kJ per mole of atoms
symmetry	P4/mmm, No. 123

The structure in POSCAR format:
```
TiSbPRu2
1.0
4.2496 0.0000 0.0000
0.0000 4.2496 0.0000
0.0000 0.0000 5.0861
Ti Sb P Ru
1 1 1 2
Direct
0.0000 0.0000 0.0000
0.5000 0.5000 0.0000
0.5000 0.5000 0.5000
0.0000 0.5000 0.5000
0.5000 0.0000 0.5000
```



(4)
Material: ScBe2As
Method: DFT, SCAN
State: PBEsol geometry

Output
crystal system	tetragonal
N(E_F)	1.339	states/eV/f.u.
uncorrected energy	-11.02	eV per atom
energy of formation	-0.233	eV/atom
symmetry	P4/mmm, No. 123

The structure in POSCAR format:
```
ScBe2As
1.0
3.7556 0.0000 0.0000
0.0000 3.7556 0.0000
0.0000 0.0000 3.7180
Sc Be As
1 2 1
Direct
0.0000 0.0000 0.0000
0.0000 0.5000 0.5000
0.5000 0.0000 0.5000
0.5000 0.5000 0.0000
```